1.
Computed, not measured: crystalline SmDyCuAu at its relaxed geometry at the PBE-GGA level of DFT.

Summary:
Total DFT energy (no corrections), eV per atom: -4.710
DFT formation energy, meV per atom: -537
SG: No. 38
Calculated density, Mg/m³: 10.04

abc: 3.807 4.582 5.759
angles: 90.00 109.30 90.00
Fractional coordinates of all 4 atoms:
Cu  0.422  0.000  0.843
Dy  0.139  0.000  0.278
Sm  0.860  0.500  0.720
Au  0.579  0.500  0.158


2.
Computed, not measured: crystalline NpInRu at its relaxed geometry at the PBE-GGA level of DFT.

Summary:
Total DFT energy (no corrections), eV per atom: -8.292
DFT formation energy, meV per atom: 26
SG: No. 107
Calculated density, Mg/m³: 12.36

abc: 3.173 3.173 6.447
angles: 104.24 104.24 90.00
Last column: magnetic moment on the atom in μB.
Fractional coordinates of all 3 atoms:
In  0.020  0.020  0.041  -0.01
Ru  0.669  0.669  0.338  -0.37
Np  0.311  0.311  0.622  3.51


3.
Computed, not measured: crystalline CsTiP2 at its relaxed geometry at the PBE-GGA level of DFT.

Summary:
Total DFT energy (no corrections), eV per atom: -5.337
DFT formation energy, meV per atom: -445
SG: No. 141
Calculated density, Mg/m³: 3.00

abc: 6.207 6.207 8.248
angles: 67.90 67.90 90.00
Fractional coordinates of all 8 atoms:
P  0.375  0.625  0.750
Cs  0.000  0.000  0.000
Cs  0.750  0.250  0.500
P  0.375  0.625  0.250
P  0.875  0.625  0.750
Ti  0.250  0.750  0.500
P  0.375  0.125  0.250
Ti  0.500  0.500  0.000


4.
Computed, not measured: crystalline Ba4AgN at its relaxed geometry at the PBE-GGA level of DFT.

Summary:
Total DFT energy (no corrections), eV per atom: -3.396
SG: No. 14
Formation energy from raw total energies, eV per atom: -0.2515
Calculated density, Mg/m³: 4.15

abc: 6.927 12.900 12.058
angles: 90.00 90.00 93.58
Fractional coordinates of all 24 atoms:
Ba  0.109  0.873  0.091
Ba  0.597  0.358  0.078
Ba  0.423  0.926  0.743
Ba  0.071  0.241  0.240
Ba  0.929  0.759  0.760
N  0.710  0.262  0.244
Ba  0.429  0.259  0.740
Ag  0.888  0.596  0.514
Ag  0.388  0.096  0.986
Ba  0.391  0.627  0.591
Ba  0.571  0.741  0.260
Ba  0.609  0.373  0.409
Ba  0.403  0.642  0.922
N  0.210  0.762  0.256
Ag  0.112  0.404  0.486
Ba  0.923  0.426  0.757
Ba  0.077  0.574  0.243
N  0.790  0.238  0.744
Ag  0.612  0.904  0.014
N  0.290  0.738  0.756
Ba  0.903  0.142  0.578
Ba  0.891  0.127  0.909
Ba  0.577  0.074  0.257
Ba  0.097  0.858  0.422


5.
Computed, not measured: crystalline TbSm8Dy5 at its relaxed geometry at the PBE-GGA level of DFT.

Summary:
Total DFT energy (no corrections), eV per atom: -4.419
DFT formation energy, meV per atom: 252
SG: No. 5
Calculated density, Mg/m³: 7.61

abc: 8.521 8.514 8.521
angles: 111.20 106.15 111.16
Fractional coordinates of all 14 atoms:
Dy  0.500  0.000  0.500
Sm  0.077  0.744  0.472
Sm  0.165  0.735  0.076
Sm  0.528  0.605  0.272
Dy  0.035  0.315  0.133
Tb  0.250  0.500  0.750
Dy  0.818  0.685  0.720
Dy  0.281  0.098  0.965
Sm  0.728  0.256  0.333
Sm  0.341  0.265  0.431
Sm  0.569  0.910  0.834
Dy  0.867  0.902  0.183
Sm  0.667  0.395  0.923
Sm  0.924  0.090  0.659


6.
Computed, not measured: crystalline FePt3Se at its relaxed geometry at the PBE-GGA level of DFT.

Summary:
Total DFT energy (no corrections), eV per atom: -5.019
SG: No. 221
Formation energy from raw total energies, eV per atom: 0.9950
Calculated density, Mg/m³: 12.11

abc: 4.622 4.622 4.622
angles: 90.00 90.00 90.00
Last column: magnetic moment on the atom in μB.
Fractional coordinates of all 5 atoms:
Pt  0.000  0.000  0.500  0.51
Pt  0.500  0.000  0.000  0.16
Pt  0.000  0.500  0.000  0.35
Se  0.500  0.500  0.500  0.07
Fe  0.000  0.000  0.000  2.70


7.
Computed, not measured: crystalline LiDyIn4 at its relaxed geometry at the PBE-GGA level of DFT.

Summary:
Total DFT energy (no corrections), eV per atom: -2.992
DFT formation energy, meV per atom: -80
SG: No. 123
Calculated density, Mg/m³: 6.52

abc: 4.512 4.512 7.871
angles: 90.00 90.00 90.00
Fractional coordinates of all 6 atoms:
In  0.500  0.000  0.291
In  0.500  0.000  0.709
Dy  0.000  0.000  0.000
Li  0.500  0.500  0.500
In  0.000  0.500  0.291
In  0.000  0.500  0.709


8.
Computed, not measured: crystalline Zn2SbAsS at its relaxed geometry at the PBE-GGA level of DFT.

Summary:
Total DFT energy (no corrections), eV per atom: -2.327
SG: No. 123
Formation energy from raw total energies, eV per atom: 0.7626
Calculated density, Mg/m³: 4.31

abc: 5.085 5.362 5.085
angles: 90.00 90.00 90.00
Fractional coordinates of all 5 atoms:
Zn  0.500  0.000  0.000
As  0.000  0.500  0.000
Sb  0.000  0.000  0.000
S  0.500  0.500  0.500
Zn  0.000  0.000  0.500


9.
Computed, not measured: crystalline Np2SnS4 at its relaxed geometry at the PBE-GGA level of DFT.

Summary:
Total DFT energy (no corrections), eV per atom: -7.202
SG: No. 139
Formation energy from raw total energies, eV per atom: -0.5747
Calculated density, Mg/m³: 6.66

abc: 5.057 5.057 7.885
angles: 108.70 108.70 90.00
Last column: magnetic moment on the atom in μB.
Fractional coordinates of all 7 atoms:
S  0.000  0.500  0.000  -0.04
S  0.190  0.190  0.379  -0.08
S  0.810  0.810  0.621  -0.08
Np  0.375  0.375  0.751  4.21
S  0.500  0.000  0.000  -0.04
Sn  0.000  0.000  0.000  0.00
Np  0.625  0.625  0.249  4.21


10.
Computed, not measured: crystalline LaCuOs2 at its relaxed geometry at the PBE-GGA level of DFT.

Summary:
Total DFT energy (no corrections), eV per atom: -7.311
DFT formation energy, meV per atom: 559
SG: No. 44
Calculated density, Mg/m³: 13.29

abc: 5.731 5.731 5.731
angles: 149.82 129.06 60.36
Fractional coordinates of all 4 atoms:
Os  0.753  0.253  0.500
Os  0.968  0.968  0.000
Cu  0.530  0.530  0.000
La  0.249  0.749  0.500


11.
Computed, not measured: crystalline Cd2In2Hg6Bi at its relaxed geometry at the PBE-GGA level of DFT.

Summary:
Total DFT energy (no corrections), eV per atom: -1.138
DFT formation energy, meV per atom: 44
SG: No. 2
Calculated density, Mg/m³: 10.34

abc: 6.258 7.632 10.089
angles: 118.69 90.07 51.76
Fractional coordinates of all 11 atoms:
Hg  0.252  0.851  0.230
Hg  0.788  0.847  0.160
In  0.887  0.338  0.190
Hg  0.212  0.153  0.840
In  0.113  0.662  0.810
Cd  0.572  0.696  0.902
Cd  0.428  0.304  0.098
Hg  0.748  0.149  0.770
Bi  0.500  0.000  0.500
Hg  0.238  0.529  0.454
Hg  0.762  0.471  0.546


12.
Computed, not measured: crystalline HgP2Br6 at its relaxed geometry at the PBE-GGA level of DFT.

Summary:
Total DFT energy (no corrections), eV per atom: -2.687
SG: No. 15
Formation energy from raw total energies, eV per atom: -0.3359
Calculated density, Mg/m³: 3.25

abc: 9.016 10.022 10.022
angles: 70.60 68.02 68.02
Fractional coordinates of all 18 atoms:
P  0.126  0.435  0.439
P  0.374  0.561  0.565
Br  0.431  0.472  0.784
Br  0.069  0.216  0.528
Hg  0.750  0.997  0.003
Br  0.428  0.782  0.484
Br  0.572  0.218  0.516
Br  0.973  0.136  0.130
Br  0.473  0.130  0.136
P  0.626  0.439  0.435
Br  0.027  0.864  0.870
P  0.874  0.565  0.561
Br  0.569  0.528  0.216
Br  0.931  0.784  0.472
Hg  0.250  0.003  0.997
Br  0.928  0.484  0.782
Br  0.072  0.516  0.218
Br  0.527  0.870  0.864